Entry 1:
In2SnAs4Pb, optimized geometry, DFT PBE; SG = Fmm2
1.0
0.000 4.567 6.189
4.545 0.000 6.189
4.545 4.567 0.000
In Sn As Pb
2 1 4 1
direct
0.000 0.000 0.500
0.500 0.500 0.000
0.250 0.250 0.750
0.146 0.614 0.386
0.353 0.885 0.647
0.614 0.146 0.854
0.885 0.353 0.115
0.750 0.750 0.250



Entry 2:
LaNd2Cd2Pb2, optimized geometry, DFT PBE; SG = R-3m
1.0
2.577 1.488 9.168
-2.577 1.488 9.168
0.000 -2.976 9.168
La Nd Cd Pb
1 2 2 2
direct
0.000 0.000 0.000
0.133 0.133 0.133
0.867 0.867 0.867
0.427 0.427 0.427
0.573 0.573 0.573
0.269 0.269 0.269
0.731 0.731 0.731



Entry 3:
CaPrAs2, optimized geometry, DFT PBE; SG = R-3m; relative energy among the computed polymorphs = 0.000 eV per atom
1.0
4.288 0.000 0.000
-2.144 3.713 0.000
0.000 0.000 21.041
Ca Pr As
3 3 6
direct
0.000 0.000 0.000
0.333 0.667 0.667
0.667 0.333 0.333
0.000 0.000 0.500
0.333 0.667 0.167
0.667 0.333 0.833
0.000 0.000 0.249
0.000 0.000 0.751
0.333 0.667 0.418
0.333 0.667 0.916
0.667 0.333 0.084
0.667 0.333 0.582



Entry 4:
Pm2AgSn3Pd4, optimized geometry, DFT PBE; SG = P-4m2
1.0
4.445 0.000 0.000
0.000 4.445 0.000
0.000 0.000 11.193
Pm Ag Sn Pd
2 1 3 4
direct
0.000 0.500 0.248
0.500 0.000 0.752
0.500 0.500 0.000
0.000 0.000 0.000
0.000 0.500 0.630
0.500 0.000 0.370
0.000 0.000 0.500
0.000 0.500 0.860
0.500 0.000 0.140
0.500 0.500 0.500



So what do the calculations give for calculated volume? Going down the list: 256.92 210.91 334.99 221.14 Å³ per cell.
So what do the calculations give for formation enthalpy at 0 K? Going down the list: -0.44 -1.82 -4.63 -6.66 eV/f.u..